Record 1
# V2CoSb

A geometry-optimized V2CoSb structure (PBE-GGA, Alexandria via LeMat-Bulk).

Calculated values
ρ = 7.53 g/cm3
ΔE_f (raw) = 6.254 kcal/mol of atoms
Calculated volume = 62 Å³/f.u.
Space-group type = I-42d
Crystal system = tetragonal
Energy = -7.0952 eV per atom

Lattice parameters (Å, degrees): 6.928 6.928 5.195 90.00 90.00 90.00
Fractional positions:
V 0.205 0.750 0.125
V 0.250 0.205 0.875
V 0.250 0.295 0.375
V 0.295 0.750 0.625
V 0.705 0.250 0.625
V 0.750 0.705 0.375
V 0.750 0.795 0.875
V 0.795 0.250 0.125
Co 0.000 0.000 0.000
Co 0.000 0.500 0.250
Co 0.500 0.000 0.750
Co 0.500 0.500 0.500
Sb 0.000 0.000 0.500
Sb 0.000 0.500 0.750
Sb 0.500 0.000 0.250
Sb 0.500 0.500 0.000

Record 2
# VCoSb2

A geometry-optimized VCoSb2 structure (PBE-GGA, Alexandria via LeMat-Bulk).

Calculated values
ρ = 7.00 g/cm3
ΔE_f (raw) = 10.512 kcal/mol of atoms
Calculated volume = 84 Å³/f.u.
Space-group type = R-3m
Crystal system = trigonal
Energy = -5.6615 eV per atom

Lattice parameters (Å, degrees): 3.303 3.303 26.618 90.00 90.00 120.00
Fractional positions:
V 0.000 0.000 0.000
V 0.333 0.667 0.667
V 0.667 0.333 0.333
Co 0.000 0.000 0.500
Co 0.333 0.667 0.167
Co 0.667 0.333 0.833
Sb 0.000 0.000 0.102
Sb 0.000 0.000 0.898
Sb 0.333 0.667 0.565
Sb 0.333 0.667 0.768
Sb 0.667 0.333 0.232
Sb 0.667 0.333 0.435

Record 3
# Y2VCoSb

A geometry-optimized Y2VCoSb structure (PBE-GGA, Alexandria via LeMat-Bulk).

Calculated values
ρ = 5.48 g/cm3
ΔE_f (raw) = 3.453 kcal/mol of atoms
Calculated volume = 124 Å³/f.u.
Space-group type = P4/mmm
Crystal system = tetragonal
Energy = -6.5052 eV per atom

Lattice parameters (Å, degrees): 5.113 5.113 4.746 90.00 90.00 90.00
Fractional positions:
Y 0.000 0.500 0.000
Y 0.500 0.000 0.000
V 0.000 0.000 0.500
Co 0.500 0.500 0.000
Sb 0.500 0.500 0.500

Record 4
# ZrV2CoSb

A geometry-optimized ZrV2CoSb structure (PBE-GGA, Alexandria via LeMat-Bulk).

Calculated values
ρ = 5.05 g/cm3
ΔE_f (raw) = 35.890 kcal/mol of atoms
Calculated volume = 123 Å³/f.u.
Space-group type = P4/mmm
Crystal system = tetragonal
Energy = -6.0464 eV per atom

Lattice parameters (Å, degrees): 4.807 4.807 5.321 90.00 90.00 90.00
Fractional positions:
Zr 0.000 0.000 0.000
V 0.000 0.500 0.500
V 0.500 0.000 0.500
Co 0.500 0.500 0.000
Sb 0.000 0.000 0.500

Record 5
# CoSb3W

A geometry-optimized CoSb3W structure (PBE-GGA, Alexandria via LeMat-Bulk).

Calculated values
ρ = 8.75 g/cm3
ΔE_f (raw) = 25.749 kcal/mol of atoms
Calculated volume = 115 Å³/f.u.
Space-group type = Pm-3m
Crystal system = cubic
Energy = -5.3687 eV per atom

Lattice parameters (Å, degrees): 4.868 4.868 4.868 90.00 90.00 90.00
Fractional positions:
Co 0.000 0.000 0.000
Sb 0.000 0.000 0.500
Sb 0.000 0.500 0.000
Sb 0.500 0.000 0.000
W 0.500 0.500 0.500

Record 6
# CoSbW2

A geometry-optimized CoSbW2 structure (PBE-GGA, Alexandria via LeMat-Bulk).

Calculated values
ρ = 14.14 g/cm3
ΔE_f (raw) = 10.366 kcal/mol of atoms
Calculated volume = 64 Å³/f.u.
Space-group type = Pm
Crystal system = monoclinic
Energy = -8.8341 eV per atom

Lattice parameters (Å, degrees): 2.886 4.232 5.381 90.00 101.60 90.00
Fractional positions:
Co 0.000 0.000 0.000
Sb 0.073 0.500 0.253
W 0.405 0.500 0.780
W 0.652 0.000 0.525

Record 7
# CoSbW

A geometry-optimized CoSbW structure (PBE-GGA, Alexandria via LeMat-Bulk).

Calculated values
ρ = 11.65 g/cm3
ΔE_f (raw) = 9.197 kcal/mol of atoms
Calculated volume = 52 Å³/f.u.
Space-group type = F-43m
Crystal system = cubic
Energy = -7.6617 eV per atom

Lattice parameters (Å, degrees): 5.923 5.923 5.923 90.00 90.00 90.00
Fractional positions:
Co 0.000 0.000 0.000
Co 0.000 0.500 0.500
Co 0.500 0.000 0.500
Co 0.500 0.500 0.000
Sb 0.250 0.250 0.250
Sb 0.250 0.750 0.750
Sb 0.750 0.250 0.750
Sb 0.750 0.750 0.250
W 0.250 0.250 0.750
W 0.250 0.750 0.250
W 0.750 0.250 0.250
W 0.750 0.750 0.750

Record 8
# Co3SbW

A geometry-optimized Co3SbW structure (PBE-GGA, Alexandria via LeMat-Bulk).

Calculated values
ρ = 8.88 g/cm3
ΔE_f (raw) = 30.294 kcal/mol of atoms
Calculated volume = 90 Å³/f.u.
Space-group type = Pm-3m
Crystal system = cubic
Energy = -6.3650 eV per atom

Lattice parameters (Å, degrees): 4.485 4.485 4.485 90.00 90.00 90.00
Fractional positions:
Co 0.000 0.000 0.500
Co 0.000 0.500 0.000
Co 0.500 0.000 0.000
Sb 0.500 0.500 0.500
W 0.000 0.000 0.000

Record 9
# CoSbW2

A geometry-optimized CoSbW2 structure (PBE-GGA, Alexandria via LeMat-Bulk).

Calculated values
ρ = 14.47 g/cm3
ΔE_f (raw) = 9.491 kcal/mol of atoms
Calculated volume = 63 Å³/f.u.
Space-group type = Immm
Crystal system = orthorhombic
Energy = -8.8721 eV per atom

Lattice parameters (Å, degrees): 3.524 4.099 8.713 90.00 90.00 90.00
Fractional positions:
Co 0.000 0.000 0.000
Co 0.500 0.500 0.500
Sb 0.000 0.000 0.500
Sb 0.500 0.500 0.000
W 0.000 0.500 0.251
W 0.000 0.500 0.749
W 0.500 0.000 0.249
W 0.500 0.000 0.751

Record 10
# CoSbW2

A geometry-optimized CoSbW2 structure (PBE-GGA, Alexandria via LeMat-Bulk).

Calculated values
ρ = 14.48 g/cm3
ΔE_f (raw) = 10.016 kcal/mol of atoms
Calculated volume = 63 Å³/f.u.
Space-group type = Imm2
Crystal system = orthorhombic
Energy = -8.8493 eV per atom

Lattice parameters (Å, degrees): 3.398 4.469 8.282 90.00 90.00 90.00
Fractional positions:
Co 0.000 0.000 0.000
Co 0.500 0.500 0.500
Sb 0.000 0.500 0.724
Sb 0.500 0.000 0.224
W 0.000 0.000 0.492
W 0.000 0.500 0.251
W 0.500 0.000 0.751
W 0.500 0.500 0.992

Record 11
# CoSbW2

A geometry-optimized CoSbW2 structure (PBE-GGA, Alexandria via LeMat-Bulk).

Calculated values
ρ = 13.54 g/cm3
ΔE_f (raw) = 11.612 kcal/mol of atoms
Calculated volume = 67 Å³/f.u.
Space-group type = R3m
Crystal system = trigonal
Energy = -8.7801 eV per atom

Lattice parameters (Å, degrees): 3.101 3.101 24.222 90.00 90.00 120.00
Fractional positions:
Co 0.000 0.000 0.000
Co 0.333 0.667 0.667
Co 0.667 0.333 0.333
Sb 0.000 0.000 0.752
Sb 0.333 0.667 0.418
Sb 0.667 0.333 0.085
W 0.000 0.000 0.259
W 0.000 0.000 0.512
W 0.333 0.667 0.178
W 0.333 0.667 0.926
W 0.667 0.333 0.592
W 0.667 0.333 0.845

Record 12
# CoSbW2

A geometry-optimized CoSbW2 structure (PBE-GGA, Alexandria via LeMat-Bulk).

Calculated values
ρ = 14.24 g/cm3
ΔE_f (raw) = 15.430 kcal/mol of atoms
Calculated volume = 64 Å³/f.u.
Space-group type = P4/mmm
Crystal system = tetragonal
Energy = -8.6145 eV per atom

Lattice parameters (Å, degrees): 4.568 4.568 3.066 90.00 90.00 90.00
Fractional positions:
Co 0.000 0.000 0.000
Sb 0.500 0.500 0.000
W 0.000 0.500 0.500
W 0.500 0.000 0.500

Record 13
# CoSb4W

A geometry-optimized CoSb4W structure (PBE-GGA, Alexandria via LeMat-Bulk).

Calculated values
ρ = 7.95 g/cm3
ΔE_f (raw) = 34.417 kcal/mol of atoms
Calculated volume = 152 Å³/f.u.
Space-group type = F-43m
Crystal system = cubic
Energy = -4.5990 eV per atom

Lattice parameters (Å, degrees): 5.995 5.995 5.995 60.00 60.00 60.00
Fractional positions:
Co 0.000 0.000 0.000
Sb 0.124 0.625 0.625
Sb 0.625 0.124 0.625
Sb 0.625 0.625 0.124
Sb 0.625 0.625 0.625
W 0.250 0.250 0.250

Record 14
# Co2SbW

A geometry-optimized Co2SbW structure (PBE-GGA, Alexandria via LeMat-Bulk).

Calculated values
ρ = 11.42 g/cm3
ΔE_f (raw) = 13.871 kcal/mol of atoms
Calculated volume = 62 Å³/f.u.
Space-group type = R3m
Crystal system = trigonal
Energy = -7.2203 eV per atom

Lattice parameters (Å, degrees): 2.961 2.961 24.342 90.00 90.00 120.00
Fractional positions:
Co 0.000 0.000 0.000
Co 0.000 0.000 0.258
Co 0.333 0.667 0.667
Co 0.333 0.667 0.924
Co 0.667 0.333 0.333
Co 0.667 0.333 0.591
Sb 0.000 0.000 0.509
Sb 0.333 0.667 0.176
Sb 0.667 0.333 0.842
W 0.000 0.000 0.745
W 0.333 0.667 0.411
W 0.667 0.333 0.078